DyPaCo2P2, relaxed, DFT PBE; E = -45.953 eV for the cell shown; energy of formation from the pure elements = -1.137 eV per atom; SG = P-3m1; D(E_F) = 3.348 states/eV/cell
1.0
3.8750 0.0000 0.0000
-1.9375 3.3559 0.0000
0.0000 0.0000 7.6606
Dy Pa Co P
1 1 2 2
direct
0.0000 0.0000 0.0000
0.0000 0.0000 0.5000
0.3333 0.6667 0.2809
0.6667 0.3333 0.7191
0.3333 0.6667 0.7626
0.6667 0.3333 0.2374

---

Dy2Co3P4Rh, relaxed, DFT PBE; E = -70.017 eV for the cell shown; energy of formation from the pure elements = -1.050 eV per atom; SG = P-4m2; D(E_F) = 3.861 states/eV/cell
1.0
3.9526 0.0000 0.0000
0.0000 3.9526 0.0000
0.0000 0.0000 9.1698
Dy Co P Rh
2 3 4 1
direct
0.0000 0.5000 0.2384
0.5000 0.0000 0.7616
0.0000 0.5000 0.8893
0.5000 0.0000 0.1107
0.5000 0.5000 0.5000
0.0000 0.0000 0.0000
0.0000 0.5000 0.6459
0.5000 0.0000 0.3541
0.5000 0.5000 0.0000
0.0000 0.0000 0.5000

---

Dy2Co4P3Ru, relaxed, DFT PBE; E = -71.170 eV for the cell shown; energy of formation from the pure elements = -0.804 eV per atom; SG = P-4m2; D(E_F) = 6.733 states/eV/cell
1.0
3.8922 0.0000 0.0000
0.0000 3.8922 0.0000
0.0000 0.0000 9.4456
Dy Co P Ru
2 4 3 1
direct
0.0000 0.5000 0.2416
0.5000 0.0000 0.7584
0.0000 0.0000 0.0000
0.0000 0.5000 0.6324
0.5000 0.0000 0.3676
0.5000 0.5000 0.0000
0.0000 0.5000 0.8710
0.5000 0.0000 0.1290
0.5000 0.5000 0.5000
0.0000 0.0000 0.5000

---

Dy2Co3P4Ru, relaxed, DFT PBE; E = -71.676 eV for the cell shown; energy of formation from the pure elements = -1.024 eV per atom; SG = P-4m2; D(E_F) = 4.703 states/eV/cell
1.0
3.9601 0.0000 0.0000
0.0000 3.9601 0.0000
0.0000 0.0000 9.1226
Dy Co P Ru
2 3 4 1
direct
0.0000 0.5000 0.2369
0.5000 0.0000 0.7631
0.0000 0.5000 0.8882
0.5000 0.0000 0.1118
0.5000 0.5000 0.5000
0.0000 0.0000 0.0000
0.0000 0.5000 0.6403
0.5000 0.0000 0.3597
0.5000 0.5000 0.0000
0.0000 0.0000 0.5000

---

DyCoTcP2, relaxed, DFT PBE; E = -75.321 eV for the cell shown; energy of formation from the pure elements = -0.953 eV per atom; SG = I-4m2; D(E_F) = 4.073 states/eV/cell
1.0
3.9463 0.0000 0.0000
0.0000 3.9463 0.0000
0.0000 0.0000 9.7141
Dy Co Tc P
2 2 2 4
direct
0.0000 0.0000 0.0000
0.5000 0.5000 0.5000
0.0000 0.5000 0.7500
0.5000 0.0000 0.2500
0.0000 0.5000 0.2500
0.5000 0.0000 0.7500
0.0000 0.0000 0.3729
0.0000 0.0000 0.6271
0.5000 0.5000 0.1271
0.5000 0.5000 0.8729

---

DyZn2Co2P, relaxed, DFT PBE; E = -29.104 eV for the cell shown; energy of formation from the pure elements = -0.389 eV per atom; SG = P4/mmm; D(E_F) = 4.215 states/eV/cell
1.0
4.1918 0.0000 0.0000
0.0000 4.1918 0.0000
0.0000 0.0000 5.4875
Dy Zn Co P
1 2 2 1
direct
0.0000 0.0000 0.0000
0.5000 0.5000 0.2283
0.5000 0.5000 0.7717
0.0000 0.5000 0.5000
0.5000 0.0000 0.5000
0.0000 0.0000 0.5000

---

DyPaCo, relaxed, DFT PBE; E = -87.730 eV for the cell shown; energy of formation from the pure elements = -0.243 eV per atom; SG = P2_1/c; ΔE to the lowest computed polymorph = 0.000 eV per atom; D(E_F) = 15.792 states/eV/cell
1.0
6.0026 0.0000 0.0000
0.0000 6.7053 0.0000
-0.1770 0.0000 6.7771
Dy Pa Co
4 4 4
direct
0.1198 0.1493 0.3093
0.1198 0.3507 0.8093
0.8802 0.6493 0.1907
0.8802 0.8507 0.6907
0.3791 0.6955 0.4759
0.3791 0.8045 0.9759
0.6209 0.1955 0.0241
0.6209 0.3045 0.5241
0.3950 0.0026 0.6716
0.3950 0.4974 0.1716
0.6050 0.5026 0.8284
0.6050 0.9974 0.3284

---

DyPaCo, relaxed, DFT PBE; E = -87.523 eV for the cell shown; energy of formation from the pure elements = -0.226 eV per atom; SG = P2_1/c; ΔE to the lowest computed polymorph = 0.017 eV per atom; D(E_F) = 15.843 states/eV/cell
1.0
6.8564 0.0000 0.0000
0.0000 5.9274 0.0000
-1.8189 0.0000 6.5145
Dy Pa Co
4 4 4
direct
0.1487 0.1430 0.3601
0.1487 0.3570 0.8601
0.8513 0.6430 0.1399
0.8513 0.8570 0.6399
0.4066 0.6498 0.3107
0.4066 0.8502 0.8107
0.5934 0.1498 0.1893
0.5934 0.3502 0.6893
0.1717 0.6317 0.5133
0.1717 0.8683 0.0133
0.8283 0.1317 0.9867
0.8283 0.3683 0.4867

---

DyPaCo4, relaxed, DFT PBE; E = -43.960 eV for the cell shown; energy of formation from the pure elements = -0.240 eV per atom; SG = F-43m; D(E_F) = 8.245 states/eV/cell
1.0
0.0000 3.5286 3.5286
3.5286 0.0000 3.5286
3.5286 3.5286 0.0000
Dy Pa Co
1 1 4
direct
0.0000 0.0000 0.0000
0.7500 0.7500 0.7500
0.3749 0.3749 0.3749
0.3749 0.3749 0.8754
0.3749 0.8754 0.3749
0.8754 0.3749 0.3749

---

Dy2PaCo3, relaxed, DFT PBE; E = -82.449 eV for the cell shown; energy of formation from the pure elements = -0.201 eV per atom; SG = C2/c; ΔE to the lowest computed polymorph = 0.000 eV per atom; D(E_F) = 7.835 states/eV/cell
1.0
6.2064 -2.5607 0.0000
6.2064 2.5607 0.0000
-2.8650 0.0000 7.1574
Dy Pa Co
4 2 6
direct
0.1952 0.2372 0.1068
0.2372 0.1952 0.6068
0.7628 0.8048 0.3932
0.8048 0.7628 0.8932
0.2360 0.7640 0.7500
0.7640 0.2360 0.2500
0.2062 0.7938 0.2500
0.3575 0.4344 0.4586
0.4344 0.3575 0.9586
0.5656 0.6425 0.0414
0.6425 0.5656 0.5414
0.7938 0.2062 0.7500

---

DyPaCo2, relaxed, DFT PBE; E = -28.903 eV for the cell shown; energy of formation from the pure elements = -0.148 eV per atom; SG = P4/mmm; ΔE to the lowest computed polymorph = 0.232 eV per atom; D(E_F) = 4.661 states/eV/cell
1.0
4.7229 0.0000 0.0000
0.0000 4.7229 0.0000
0.0000 0.0000 3.2799
Dy Pa Co
1 1 2
direct
0.0000 0.0000 0.0000
0.5000 0.5000 0.0000
0.0000 0.5000 0.5000
0.5000 0.0000 0.5000

---

DyPaCo3, relaxed, DFT PBE; E = -73.785 eV for the cell shown; energy of formation from the pure elements = -0.295 eV per atom; SG = Cmcm; D(E_F) = 8.841 states/eV/cell
1.0
1.9027 -11.3454 0.0000
1.9027 11.3454 0.0000
0.0000 0.0000 4.0268
Dy Pa Co
2 2 6
direct
0.0701 0.9299 0.7500
0.9299 0.0701 0.2500
0.2009 0.7991 0.2500
0.7991 0.2009 0.7500
0.3121 0.6879 0.2500
0.3745 0.6255 0.7500
0.4757 0.5243 0.7500
0.5243 0.4757 0.2500
0.6255 0.3745 0.2500
0.6879 0.3121 0.7500

---

Dy2PaCo3, relaxed, DFT PBE; E = -164.670 eV for the cell shown; energy of formation from the pure elements = -0.192 eV per atom; SG = Pnma; ΔE to the lowest computed polymorph = 0.009 eV per atom; D(E_F) = 19.650 states/eV/cell
1.0
6.5866 0.0000 0.0000
0.0000 3.7591 0.0000
0.0000 0.0000 19.2803
Dy Pa Co
8 4 12
direct
0.1184 0.2500 0.0938
0.2346 0.2500 0.2800
0.2654 0.7500 0.7800
0.3816 0.7500 0.5938
0.6184 0.2500 0.4062
0.7346 0.2500 0.2200
0.7654 0.7500 0.7200
0.8816 0.7500 0.9062
0.0891 0.7500 0.4263
0.4109 0.2500 0.9263
0.5891 0.7500 0.0737
0.9109 0.2500 0.5737
0.0447 0.7500 0.2036
0.0983 0.2500 0.6690
0.2433 0.7500 0.9884
0.2567 0.2500 0.4884
0.4017 0.7500 0.1690
0.4553 0.2500 0.7036
0.5447 0.7500 0.2964
0.5983 0.2500 0.8310
0.7433 0.7500 0.5116
0.7567 0.2500 0.0116
0.9017 0.7500 0.3310
0.9553 0.2500 0.7964

---

DyPaCo2, relaxed, DFT PBE; E = -116.819 eV for the cell shown; energy of formation from the pure elements = -0.224 eV per atom; SG = P2/c; ΔE to the lowest computed polymorph = 0.157 eV per atom; D(E_F) = 13.035 states/eV/cell
1.0
5.7676 0.0000 0.0000
0.0000 5.2934 0.0000
-5.5411 0.0000 10.1642
Dy Pa Co
4 4 8
direct
0.0438 0.2488 0.1088
0.0438 0.7512 0.6088
0.9562 0.2488 0.3912
0.9562 0.7512 0.8912
0.3374 0.2503 0.8904
0.3374 0.7497 0.3904
0.6626 0.2503 0.6096
0.6626 0.7497 0.1096
0.2452 0.2531 0.6724
0.2452 0.7469 0.1724
0.4494 0.2515 0.3708
0.4494 0.7485 0.8708
0.5506 0.2515 0.1292
0.5506 0.7485 0.6292
0.7548 0.2531 0.8276
0.7548 0.7469 0.3276

---

DyPaCo2, relaxed, DFT PBE; E = -87.027 eV for the cell shown; energy of formation from the pure elements = -0.175 eV per atom; SG = R3m; ΔE to the lowest computed polymorph = 0.206 eV per atom; D(E_F) = 5.688 states/eV/cell
1.0
3.6513 0.0000 0.0000
-1.8257 3.1621 0.0000
0.0000 0.0000 20.5392
Dy Pa Co
3 3 6
direct
0.0000 0.0000 0.0000
0.3333 0.6667 0.6667
0.6667 0.3333 0.3333
0.0000 0.0000 0.1716
0.3333 0.6667 0.8383
0.6667 0.3333 0.5050
0.0000 0.0000 0.5779
0.0000 0.0000 0.7617
0.3333 0.6667 0.2446
0.3333 0.6667 0.4284
0.6667 0.3333 0.0951
0.6667 0.3333 0.9113

---

DyPa3Co2, relaxed, DFT PBE; E = -96.247 eV for the cell shown; energy of formation from the pure elements = -0.137 eV per atom; SG = C2/m; D(E_F) = 18.580 states/eV/cell
1.0
7.8545 -1.9880 0.0000
7.8545 1.9880 0.0000
-4.3184 0.0000 8.1727
Dy Pa Co
2 6 4
direct
0.1222 0.1222 0.1332
0.8778 0.8778 0.8668
0.0115 0.0115 0.3545
0.3216 0.3216 0.1003
0.3397 0.3397 0.4979
0.6603 0.6603 0.5021
0.6784 0.6784 0.8997
0.9885 0.9885 0.6455
0.1849 0.1849 0.7089
0.4860 0.4860 0.1405
0.5140 0.5140 0.8595
0.8151 0.8151 0.2911

---

Dy2Pa2Co3, relaxed, DFT PBE; E = -102.963 eV for the cell shown; energy of formation from the pure elements = -0.281 eV per atom; SG = C2/m; D(E_F) = 13.164 states/eV/cell
1.0
12.4177 0.0000 0.0000
0.0000 3.5953 0.0000
-5.4705 0.0000 6.6731
Dy Pa Co
4 4 6
direct
0.0690 0.0000 0.3742
0.4310 0.5000 0.6258
0.5690 0.5000 0.3742
0.9310 0.0000 0.6258
0.1818 0.5000 0.1045
0.3182 0.0000 0.8955
0.6818 0.0000 0.1045
0.8182 0.5000 0.8955
0.0000 0.0000 0.0000
0.1358 0.5000 0.7186
0.3642 0.0000 0.2814
0.5000 0.5000 0.0000
0.6358 0.0000 0.7186
0.8642 0.5000 0.2814

---

DyPaCo2, relaxed, DFT PBE; E = -59.667 eV for the cell shown; energy of formation from the pure elements = -0.381 eV per atom; SG = P2_1/m; ΔE to the lowest computed polymorph = 0.000 eV per atom; D(E_F) = 4.358 states/eV/cell
1.0
5.1708 0.0000 0.0000
0.0000 4.2912 0.0000
-2.3591 0.0000 6.7558
Dy Pa Co
2 2 4
direct
0.2411 0.2500 0.4353
0.7589 0.7500 0.5647
0.2003 0.2500 0.9124
0.7997 0.7500 0.0876
0.3095 0.7500 0.1479
0.3376 0.7500 0.7642
0.6624 0.2500 0.2358
0.6905 0.2500 0.8521

---

DyPaCo2, relaxed, DFT PBE; E = -89.039 eV for the cell shown; energy of formation from the pure elements = -0.342 eV per atom; SG = R-3m; ΔE to the lowest computed polymorph = 0.038 eV per atom; D(E_F) = 4.360 states/eV/cell
1.0
4.2358 0.0000 0.0000
-2.1179 3.6683 0.0000
0.0000 0.0000 14.9468
Dy Pa Co
3 3 6
direct
0.0000 0.0000 0.0000
0.3333 0.6667 0.6667
0.6667 0.3333 0.3333
0.0000 0.0000 0.5000
0.3333 0.6667 0.1667
0.6667 0.3333 0.8333
0.0000 0.0000 0.2091
0.0000 0.0000 0.7909
0.3333 0.6667 0.4576
0.3333 0.6667 0.8758
0.6667 0.3333 0.1242
0.6667 0.3333 0.5424

---

DyPaCo, relaxed, DFT PBE; E = -43.241 eV for the cell shown; energy of formation from the pure elements = -0.139 eV per atom; SG = I4mm; ΔE to the lowest computed polymorph = 0.104 eV per atom; D(E_F) = 7.678 states/eV/cell
1.0
3.4238 0.0000 0.0000
0.0000 3.4238 0.0000
0.0000 0.0000 11.1040
Dy Pa Co
2 2 2
direct
0.0000 0.0000 0.0000
0.5000 0.5000 0.5000
0.0000 0.0000 0.2917
0.5000 0.5000 0.7917
0.0000 0.0000 0.6988
0.5000 0.5000 0.1988